1.
# LaAsOs, optimized geometry, DFT GGA-PBE
# calculated volume: 311 Å³/cell
# uncorrected energy: -73.623 eV per cell
# magnetic moment: 0.000 μB/cell
data_LaAsOs
_chemical_formula_sum 'La4 As4 Os4'
_cell_length_a 6.772
_cell_length_b 6.772
_cell_length_c 6.772
_cell_angle_alpha 90.00
_cell_angle_beta 90.00
_cell_angle_gamma 90.00
_space_group_name_H-M_alt 'F -4 3 m'
_space_group_IT_number 216
_space_group_name_Hall 'F -4 2 3'
loop_
_atom_site_label
_atom_site_fract_x
_atom_site_fract_y
_atom_site_fract_z
La1 0.000 0.000 0.000
As1 0.250 0.250 0.250
Os1 0.250 0.250 0.750

***

2.
# LaAsOs, optimized geometry, DFT GGA-PBE
# calculated volume: 121 Å³/cell
# uncorrected energy: -43.039 eV per cell
# magnetic moment: 0.000 μB/cell
data_LaAsOs
_chemical_formula_sum 'La2 As2 Os2'
_cell_length_a 3.219
_cell_length_b 3.219
_cell_length_c 11.700
_cell_angle_alpha 90.00
_cell_angle_beta 90.00
_cell_angle_gamma 90.00
_space_group_name_H-M_alt 'I 4 m m'
_space_group_IT_number 107
_space_group_name_Hall 'I 4 -2'
loop_
_atom_site_label
_atom_site_fract_x
_atom_site_fract_y
_atom_site_fract_z
La1 0.000 0.000 0.000
As1 0.000 0.000 0.706
Os1 0.000 0.000 0.310

***

3.
# LaAsOs, optimized geometry, DFT GGA-PBE
# calculated volume: 278 Å³/cell
# uncorrected energy: -89.343 eV per cell
# magnetic moment: 0.000 μB/cell
data_LaAsOs
_chemical_formula_sum 'La4 As4 Os4'
_cell_length_a 4.246
_cell_length_b 4.246
_cell_length_c 15.395
_cell_angle_alpha 90.00
_cell_angle_beta 90.00
_cell_angle_gamma 90.00
_space_group_name_H-M_alt 'I -4 m 2'
_space_group_IT_number 119
_space_group_name_Hall 'I -4 -2'
loop_
_atom_site_label
_atom_site_fract_x
_atom_site_fract_y
_atom_site_fract_z
La1 0.000 0.000 0.000
La2 0.000 0.500 0.250
As1 0.000 0.000 0.410
Os1 0.000 0.500 0.674